Cu5Ag2: optimized geometry, PBE.

a b c (Å): 2.725 3.556 19.626
angles (deg): 90.00 90.00 90.00
Space group Immm (No. 71)
Asymmetric unit:
1 Cu 0.000 0.000 0.000
2 Cu 0.000 0.000 0.128
3 Cu 0.000 0.000 0.435
4 Ag 0.000 0.000 0.296

formation energy = 0.0627 eV/atom

KRbInAu3: optimized geometry, PBE.

a b c (Å): 5.677 6.802 9.204
angles (deg): 90.00 90.00 90.00
Space group Pmma (No. 51)
Asymmetric unit:
1 K 0.250 0.000 0.133
2 Rb 0.250 0.500 0.371
3 In 0.250 0.000 0.576
4 Au 0.000 0.500 0.000
5 Au 0.250 0.286 0.783

Quick rundown of ΔE to the lowest computed polymorph, same order as above: 11; 2 meV/atom